This record from Alexandria via LeMat-Bulk describes an optimized crystal structure of BaSr3In4. The functional is GGA-PBE. Values from VASP.

The structure in Quantum ESPRESSO input format:
```
&SYSTEM
  ibrav = 0, nat = 8, ntyp = 3
/
ATOMIC_SPECIES
Ba 137.33 Ba.upf
Sr 87.62 Sr.upf
In 114.82 In.upf
ATOMIC_POSITIONS angstrom
Ba 0.000 0.000 0.000
Sr 0.000 0.000 4.181
Sr 2.897 2.897 0.000
Sr 2.897 2.897 4.181
In 0.000 2.897 2.217
In 0.000 2.897 6.146
In 2.897 0.000 2.217
In 2.897 0.000 6.146
CELL_PARAMETERS angstrom
5.794 0.000 0.000
0.000 5.794 0.000
0.000 0.000 8.363
```

Values from the calculation:
V: 280.69 Å³/cell
E_form: -422 meV/atom



This record from Alexandria via LeMat-Bulk describes an optimized crystal structure of LiRhPbCl2. The functional is GGA-PBE. Values from VASP.

The structure in Quantum ESPRESSO input format:
```
&SYSTEM
  ibrav = 0, nat = 5, ntyp = 4
/
ATOMIC_SPECIES
Li 6.94 Li.upf
Rh 102.91 Rh.upf
Pb 207.20 Pb.upf
Cl 35.45 Cl.upf
ATOMIC_POSITIONS angstrom
Li 0.000 0.000 0.000
Rh 2.857 2.857 0.000
Pb 2.857 2.857 2.604
Cl 0.000 2.857 2.604
Cl 2.857 0.000 2.604
CELL_PARAMETERS angstrom
5.714 0.000 0.000
0.000 5.714 0.000
0.000 0.000 5.207
```

Values from the calculation:
E_form (uncorrected): -0.0240 eV per atom
V: 170.01 Å³/cell



This record from Alexandria via LeMat-Bulk describes an optimized crystal structure of Cs12Rh3F5. The functional is GGA-PBE. Values from VASP.

The structure in Quantum ESPRESSO input format:
```
&SYSTEM
  ibrav = 0, nat = 80, ntyp = 3
/
ATOMIC_SPECIES
Cs 132.91 Cs.upf
Rh 102.91 Rh.upf
F 19.00 F.upf
ATOMIC_POSITIONS angstrom
Cs 2.886 -0.468 1.037
Cs 11.318 5.771 -5.203
Cs 12.355 0.468 1.037
Cs 11.318 -3.698 5.203
Cs 9.001 -1.037 2.886
Cs 14.672 -1.848 3.698
Cs 1.037 2.886 -0.468
Cs 13.167 4.267 -1.848
Cs 5.771 5.203 -1.848
Cs 8.432 2.886 0.468
Cs -0.468 1.037 2.886
Cs 5.203 -1.848 5.771
Cs 9.001 8.432 -2.886
Cs 5.203 1.848 3.698
Cs 5.771 -5.203 11.318
Cs 8.432 -2.886 9.001
Cs 3.698 5.203 1.848
Cs 10.506 6.583 0.468
Cs 5.203 11.318 -3.698
Cs 9.001 1.037 6.583
Cs 2.886 9.001 -1.037
Cs 11.318 3.698 4.267
Cs 1.848 3.698 5.203
Cs 2.886 0.468 8.432
Cs 6.583 9.001 1.037
Cs 7.621 5.771 4.267
Cs -1.848 5.771 5.203
Cs 6.583 0.468 10.506
Cs 0.468 8.432 2.886
Cs 4.267 -1.848 13.167
Cs -1.037 2.886 9.001
Cs 5.771 4.267 7.621
Cs 1.037 12.355 0.468
Cs 3.698 14.672 -1.848
Cs 4.267 7.621 5.771
Cs 0.468 1.037 12.355
Cs 4.267 11.318 3.698
Cs 9.937 8.432 6.583
Cs 1.037 6.583 9.001
Cs 3.698 4.267 11.318
Cs -3.698 5.203 11.318
Cs 8.432 6.583 9.937
Cs -5.203 11.318 5.771
Cs 0.468 10.506 6.583
Cs -1.848 13.167 4.267
Cs -2.886 9.001 8.432
Cs -1.848 3.698 14.672
Cs 6.583 9.937 8.432
Rh 4.735 2.367 0.000
Rh 9.469 4.735 -2.367
Rh 2.367 0.000 4.735
Rh 11.836 0.000 4.735
Rh 0.000 4.735 2.367
Rh 4.735 -2.367 9.469
Rh 4.735 11.836 0.000
Rh 9.469 4.735 7.102
Rh -2.367 9.469 4.735
Rh 7.102 9.469 4.735
Rh 0.000 4.735 11.836
Rh 4.735 7.102 9.469
F 0.000 0.000 0.000
F 4.735 4.735 -4.735
F 4.735 -4.735 4.735
F 9.469 0.000 0.000
F 14.204 2.367 0.000
F 9.469 -4.735 7.102
F 7.102 9.469 -4.735
F 7.102 0.000 4.735
F 4.735 7.102 0.000
F 9.469 4.735 2.367
F -4.735 4.735 4.735
F 0.000 9.469 0.000
F 0.000 0.000 9.469
F 4.735 4.735 4.735
F 0.000 4.735 7.102
F 4.735 2.367 9.469
F 2.367 9.469 4.735
F 2.367 0.000 14.204
F 0.000 14.204 2.367
F -4.735 7.102 9.469
CELL_PARAMETERS angstrom
-9.469 9.469 9.469
9.469 -9.469 9.469
9.469 9.469 -9.469
```

Values from the calculation:
E_form (uncorrected): -0.9863 eV per atom
V: 3396.23 Å³/cell



This record from Alexandria via LeMat-Bulk describes an optimized crystal structure of Ta2Zn2As. The functional is GGA-PBE. Values from VASP.

The structure in Quantum ESPRESSO input format:
```
&SYSTEM
  ibrav = 0, nat = 10, ntyp = 3
/
ATOMIC_SPECIES
Ta 180.95 Ta.upf
Zn 65.41 Zn.upf
As 74.92 As.upf
ATOMIC_POSITIONS angstrom
Ta 1.004 2.296 0.000
Ta 2.296 5.597 0.000
Ta 4.305 1.004 0.000
Ta 5.597 4.305 0.000
Zn 0.960 4.261 2.058
Zn 2.341 0.960 2.058
Zn 4.261 5.641 2.058
Zn 5.641 2.341 2.058
As 0.000 0.000 0.000
As 3.301 3.301 0.000
CELL_PARAMETERS angstrom
6.601 0.000 0.000
0.000 6.601 0.000
0.000 0.000 4.115
```

Values from the calculation:
Energy above the most stable polymorph in this dataset: 0 meV/atom
V: 179.33 Å³/cell
E_form: 6 meV/atom



This record from Alexandria via LeMat-Bulk describes an optimized crystal structure of VRe2Ge. The functional is GGA-PBE. Values from VASP.

The structure in Quantum ESPRESSO input format:
```
&SYSTEM
  ibrav = 0, nat = 4, ntyp = 3
/
ATOMIC_SPECIES
V 50.94 V.upf
Re 186.21 Re.upf
Ge 72.64 Ge.upf
ATOMIC_POSITIONS angstrom
V 0.000 0.000 0.000
Re 1.550 1.550 1.485
Re 1.550 1.550 4.472
Ge 0.000 0.000 2.978
CELL_PARAMETERS angstrom
3.100 0.000 0.000
0.000 3.100 0.000
0.000 0.000 5.956
```

Values from the calculation:
V: 57.24 Å³/cell
E_form: -4 meV/atom



This record from Alexandria via LeMat-Bulk describes an optimized crystal structure of K2IF4. The functional is GGA-PBE. Values from VASP.

The structure in Quantum ESPRESSO input format:
```
&SYSTEM
  ibrav = 0, nat = 7, ntyp = 3
/
ATOMIC_SPECIES
K 39.10 K.upf
I 126.90 I.upf
F 19.00 F.upf
ATOMIC_POSITIONS angstrom
K 1.811 1.991 2.789
K 5.433 5.972 8.366
I 0.000 0.000 0.000
F 3.622 3.982 2.591
F 3.622 2.063 5.578
F 3.622 5.900 5.578
F 3.622 3.982 8.565
CELL_PARAMETERS angstrom
0.000 3.982 5.578
3.622 0.000 5.578
3.622 3.982 0.000
```

Values from the calculation:
E_form (uncorrected): -1.9893 eV per atom
V: 160.87 Å³/cell



This record from Alexandria via LeMat-Bulk describes an optimized crystal structure of ZrTi2Mn9. The functional is GGA-PBE. Values from VASP.

The structure in Quantum ESPRESSO input format:
```
&SYSTEM
  ibrav = 0, nat = 12, ntyp = 3
/
ATOMIC_SPECIES
Zr 91.22 Zr.upf
Ti 47.87 Ti.upf
Mn 54.94 Mn.upf
ATOMIC_POSITIONS angstrom
Zr 0.000 0.000 0.000
Ti 0.000 0.000 3.356
Ti 0.000 0.000 20.107
Mn -1.232 -0.711 9.826
Mn 0.000 0.000 7.925
Mn 0.000 -1.422 13.636
Mn -1.232 0.711 13.636
Mn 0.000 0.000 11.731
Mn 1.232 -0.711 9.826
Mn 0.000 1.422 9.826
Mn 0.000 0.000 15.537
Mn 1.232 0.711 13.636
CELL_PARAMETERS angstrom
2.380 1.374 7.821
-2.380 1.374 7.821
0.000 -2.749 7.821
```

Values from the calculation:
V: 153.50 Å³/cell
E_form: -139 meV/atom



This record from Alexandria via LeMat-Bulk describes an optimized crystal structure of NaAlP2Cl. The functional is GGA-PBE. Values from VASP.

The structure in Quantum ESPRESSO input format:
```
&SYSTEM
  ibrav = 0, nat = 5, ntyp = 4
/
ATOMIC_SPECIES
Na 22.99 Na.upf
Al 26.98 Al.upf
P 30.97 P.upf
Cl 35.45 Cl.upf
ATOMIC_POSITIONS angstrom
Na 0.000 0.000 0.000
Al 2.291 2.291 2.785
P 0.000 2.291 2.785
P 2.291 0.000 2.785
Cl 2.291 2.291 0.000
CELL_PARAMETERS angstrom
4.581 0.000 0.000
0.000 4.581 0.000
0.000 0.000 5.571
```

Values from the calculation:
E_form (uncorrected): -0.1013 eV per atom
Energy above the most stable polymorph in this dataset: 0 meV/atom
V: 116.92 Å³/cell



This record from Alexandria via LeMat-Bulk describes an optimized crystal structure of CaLuSc. The functional is GGA-PBE. Values from VASP.

The structure in Quantum ESPRESSO input format:
```
&SYSTEM
  ibrav = 0, nat = 3, ntyp = 3
/
ATOMIC_SPECIES
Ca 40.08 Ca.upf
Lu 174.97 Lu.upf
Sc 44.96 Sc.upf
ATOMIC_POSITIONS angstrom
Ca 0.000 0.000 0.000
Lu 0.000 0.000 4.627
Sc 0.000 0.000 9.952
CELL_PARAMETERS angstrom
-1.776 1.776 7.376
1.776 -1.776 7.376
1.776 1.776 -7.376
```

Values from the calculation:
Energy above the most stable polymorph in this dataset: 0 meV/atom
V: 93.09 Å³/cell
E_form: 132 meV/atom



This record from Alexandria via LeMat-Bulk describes an optimized crystal structure of K3CrSn. The functional is GGA-PBE. Values from VASP.

The structure in Quantum ESPRESSO input format:
```
&SYSTEM
  ibrav = 0, nat = 5, ntyp = 3
/
ATOMIC_SPECIES
K 39.10 K.upf
Cr 52.00 Cr.upf
Sn 118.71 Sn.upf
ATOMIC_POSITIONS angstrom
K 0.000 0.000 3.389
K 0.000 3.389 0.000
K 3.389 0.000 0.000
Cr 3.389 3.389 3.389
Sn 0.000 0.000 0.000
CELL_PARAMETERS angstrom
6.778 0.000 0.000
0.000 6.778 0.000
0.000 0.000 6.778
```

Values from the calculation:
Energy above the most stable polymorph in this dataset: 0 meV/atom
V: 311.35 Å³/cell
E_form: 718 meV/atom



This record from Alexandria via LeMat-Bulk describes an optimized crystal structure of LiMn2Pt. The functional is GGA-PBE. Values from VASP.

The structure in Quantum ESPRESSO input format:
```
&SYSTEM
  ibrav = 0, nat = 4, ntyp = 3
/
ATOMIC_SPECIES
Li 6.94 Li.upf
Mn 54.94 Mn.upf
Pt 195.08 Pt.upf
ATOMIC_POSITIONS angstrom
Li 0.000 0.000 0.000
Mn 0.000 2.051 1.728
Mn 2.051 0.000 1.728
Pt 2.051 2.051 0.000
CELL_PARAMETERS angstrom
4.102 0.000 0.000
0.000 4.102 0.000
0.000 0.000 3.457
```

Values from the calculation:
V: 58.15 Å³/cell
E_form: -112 meV/atom